1.
Tb3Er6Mg: optimized geometry, PBE.

a = 11.024 Å, b = 4.974 Å, c = 11.084 Å
α = 90.00°, β = 90.31°, γ = 90.00°
Sites, in units of the cell vectors:
Tb  0.051  0.250  0.400
Tb  0.152  0.750  0.203
Tb  0.252  0.250  0.003
Tb  0.748  0.750  0.997
Tb  0.848  0.250  0.797
Tb  0.949  0.750  0.600
Er  0.052  0.750  0.898
Er  0.153  0.250  0.700
Er  0.255  0.750  0.502
Er  0.350  0.750  0.803
Er  0.353  0.250  0.305
Er  0.452  0.750  0.101
Er  0.548  0.250  0.899
Er  0.647  0.750  0.695
Er  0.650  0.250  0.197
Er  0.745  0.250  0.498
Er  0.847  0.750  0.300
Er  0.948  0.250  0.102
Mg  0.451  0.250  0.600
Mg  0.549  0.750  0.400

Values from the calculation:
ΔE_f = 22 meV per atom
SG = P2_1/m
energy relative to the lowest polymorph listed for this composition = 0 meV per atom

---

2.
Tb2Er8Mg: optimized geometry, PBE.

a = 9.686 Å, b = 9.686 Å, c = 9.686 Å
α = 147.28°, β = 135.05°, γ = 56.69°
Sites, in units of the cell vectors:
Tb  0.194  0.194  0.000
Tb  0.806  0.806  0.000
Er  0.096  0.362  0.734
Er  0.244  0.000  0.244
Er  0.320  0.820  0.500
Er  0.372  0.638  0.734
Er  0.628  0.362  0.266
Er  0.680  0.180  0.500
Er  0.756  0.000  0.756
Er  0.904  0.638  0.266
Mg  0.500  0.500  0.000

Values from the calculation:
ΔE_f = 107 meV per atom
SG = Immm
energy relative to the lowest polymorph listed for this composition = 72 meV per atom

---

3.
Tb2ErMg8: optimized geometry, PBE.

a = 8.469 Å, b = 8.469 Å, c = 8.469 Å
α = 143.68°, β = 125.49°, γ = 67.28°
Sites, in units of the cell vectors:
Tb  0.212  0.212  0.000
Tb  0.788  0.788  0.000
Er  0.500  0.500  0.000
Mg  0.058  0.366  0.692
Mg  0.208  0.000  0.208
Mg  0.326  0.634  0.692
Mg  0.347  0.847  0.500
Mg  0.653  0.153  0.500
Mg  0.674  0.366  0.308
Mg  0.792  0.000  0.792
Mg  0.942  0.634  0.308

Values from the calculation:
ΔE_f = 55 meV per atom
SG = Immm

---

4.
Tb15Er2Mg2: optimized geometry, PBE.

a = 8.601 Å, b = 8.601 Å, c = 8.601 Å
α = 80.65°, β = 80.65°, γ = 80.65°
Sites, in units of the cell vectors:
Tb  0.000  0.000  0.500
Tb  0.000  0.298  0.702
Tb  0.000  0.500  0.000
Tb  0.000  0.702  0.298
Tb  0.151  0.637  0.637
Tb  0.298  0.000  0.702
Tb  0.298  0.702  0.000
Tb  0.363  0.363  0.849
Tb  0.363  0.849  0.363
Tb  0.500  0.000  0.000
Tb  0.637  0.151  0.637
Tb  0.637  0.637  0.151
Tb  0.702  0.000  0.298
Tb  0.702  0.298  0.000
Tb  0.849  0.363  0.363
Er  0.324  0.324  0.324
Er  0.676  0.676  0.676
Mg  0.093  0.093  0.093
Mg  0.907  0.907  0.907

Values from the calculation:
ΔE_f = 238 meV per atom
SG = R-3m

---

- Look up the ΔE_f of the first one.
  22 meV per atom